No. 1
Entry from Alexandria: a relaxed LaCeTe2Cl crystal (PBE).

Calculated values
V: 311.0 Å³ per cell
DOS(E_F): 18.487 states/eV per cell
formation energy from raw total energies: -1.6642 eV per atom
total magnetization: 2.357 μB/cell
space-group type: P4/nmm
VASP energy: -5.463 eV per atom

POSCAR file:
```
LaCeTe2Cl
1.0
4.5089 0.0000 0.0000
0.0000 4.5089 0.0000
0.0000 0.0000 15.2970
La Ce Te Cl
2 2 4 2
Direct
0.2500 0.2500 0.0935 La
0.7500 0.7500 0.9065 La
0.2500 0.2500 0.6308 Ce
0.7500 0.7500 0.3692 Ce
0.2500 0.2500 0.3046 Te
0.2500 0.2500 0.8766 Te
0.7500 0.7500 0.1234 Te
0.7500 0.7500 0.6954 Te
0.2500 0.7500 0.5000 Cl
0.7500 0.2500 0.5000 Cl
```

***

No. 2
Entry from Alexandria: a relaxed AcCeAgIr crystal (PBE).

Calculated values
V: 101.9 Å³ per cell
DOS(E_F): 8.460 states/eV per cell
total magnetization: 0.808 μB/cell
space-group type: F-43m
calculated formation energy: -325 meV/atom
VASP energy: -5.763 eV per atom

POSCAR file:
```
AcCeAgIr
1.0
0.0000 3.7068 3.7068
3.7068 0.0000 3.7068
3.7068 3.7068 0.0000
Ac Ce Ag Ir
1 1 1 1
Direct
0.0000 0.0000 0.0000 Ac
0.5000 0.5000 0.5000 Ce
0.2500 0.2500 0.2500 Ag
0.7500 0.7500 0.7500 Ir
```

***

No. 3
Entry from Alexandria: a relaxed CaFe2Ag2 crystal (PBE).

Calculated values
V: 181.7 Å³ per cell
DOS(E_F): 15.706 states/eV per cell
total magnetization: 11.162 μB/cell
space-group type: P4/mbm
calculated formation energy: 440 meV/atom
VASP energy: -4.486 eV per atom

POSCAR file:
```
CaFe2Ag2
1.0
7.8361 0.0000 0.0000
0.0000 7.8361 0.0000
0.0000 0.0000 2.9595
Ca Fe Ag
2 4 4
Direct
0.0000 0.0000 0.0000 Ca
0.5000 0.5000 0.0000 Ca
0.1668 0.3332 0.5000 Fe
0.3332 0.8332 0.5000 Fe
0.6668 0.1668 0.5000 Fe
0.8332 0.6668 0.5000 Fe
0.1288 0.6288 0.0000 Ag
0.3712 0.1288 0.0000 Ag
0.6288 0.8712 0.0000 Ag
0.8712 0.3712 0.0000 Ag
```

***

No. 4
Entry from Alexandria: a relaxed Ca3As2H3 crystal (PBE).

Calculated values
V: 144.9 Å³ per cell
DOS(E_F): 3.087 states/eV per cell
total magnetization: 0.000 μB/cell
space-group type: P-62m
VASP energy: -3.562 eV per atom

POSCAR file:
```
Ca3As2H3
1.0
7.3547 0.0000 0.0000
-3.6774 6.3694 0.0000
0.0000 0.0000 3.0928
Ca As H
3 2 3
Direct
0.0000 0.2778 0.0000 Ca
0.2778 0.0000 0.0000 Ca
0.7222 0.7222 0.0000 Ca
0.3333 0.6667 0.5000 As
0.6667 0.3333 0.5000 As
0.0000 0.8075 0.5000 H
0.1925 0.1925 0.5000 H
0.8075 0.0000 0.5000 H
```

***

No. 5
Entry from Alexandria: a relaxed ErPuHg2 crystal (PBE).

Calculated values
V: 104.1 Å³ per cell
DOS(E_F): 10.888 states/eV per cell
total magnetization: 5.976 μB/cell
space-group type: Fm-3m
calculated formation energy: -262 meV/atom
VASP energy: -5.137 eV per atom

POSCAR file:
```
ErPuHg2
1.0
0.0000 3.7332 3.7332
3.7332 0.0000 3.7332
3.7332 3.7332 0.0000
Er Pu Hg
1 1 2
Direct
0.0000 0.0000 0.0000 Er
0.5000 0.5000 0.5000 Pu
0.2500 0.2500 0.2500 Hg
0.7500 0.7500 0.7500 Hg
```

***

No. 6
Entry from Alexandria: a relaxed Nd3Mg2Cd3 crystal (PBE).

Calculated values
V: 445.9 Å³ per cell
DOS(E_F): 17.722 states/eV per cell
total magnetization: 0.000 μB/cell
space-group type: Cmcm
calculated formation energy: -200 meV/atom
VASP energy: -2.730 eV per atom

POSCAR file:
```
Nd3Mg2Cd3
1.0
2.4851 -5.5965 0.0000
2.4851 5.5965 0.0000
0.0000 0.0000 16.0296
Nd Mg Cd
6 4 6
Direct
0.0940 0.9060 0.6117 Nd
0.0940 0.9060 0.8883 Nd
0.3778 0.6222 0.7500 Nd
0.6222 0.3778 0.2500 Nd
0.9060 0.0940 0.1117 Nd
0.9060 0.0940 0.3883 Nd
0.2072 0.7928 0.0916 Mg
0.2072 0.7928 0.4084 Mg
0.7928 0.2072 0.5916 Mg
0.7928 0.2072 0.9084 Mg
0.3336 0.6664 0.2500 Cd
0.3934 0.6066 0.5456 Cd
0.3934 0.6066 0.9544 Cd
0.6066 0.3934 0.0456 Cd
0.6066 0.3934 0.4544 Cd
0.6664 0.3336 0.7500 Cd
```

***

No. 7
Entry from Alexandria: a relaxed Zn2Cu2Ni3 crystal (PBE).

Calculated values
V: 83.4 Å³ per cell
DOS(E_F): 5.280 states/eV per cell
total magnetization: 0.000 μB/cell
space-group type: P-1
calculated formation energy: -89 meV/atom
VASP energy: -4.101 eV per atom

POSCAR file:
```
Zn2Cu2Ni3
1.0
2.5891 0.0000 0.0000
1.2880 5.4705 0.0000
0.0179 2.2118 5.8888
Zn Cu Ni
2 2 3
Direct
0.0776 0.3449 0.2274 Zn
0.9224 0.6551 0.7726 Zn
0.3569 0.7863 0.0753 Cu
0.6431 0.2137 0.9247 Cu
0.2130 0.0762 0.6423 Ni
0.5000 0.5000 0.5000 Ni
0.7870 0.9238 0.3577 Ni
```

***

No. 8
Entry from Alexandria: a relaxed BaYW2 crystal (PBE).

Calculated values
V: 93.4 Å³ per cell
DOS(E_F): 5.215 states/eV per cell
total magnetization: 0.000 μB/cell
space-group type: R-3m
calculated formation energy: 1338 meV/atom
VASP energy: -7.236 eV per atom

POSCAR file:
```
BaYW2
1.0
1.5506 0.8952 11.2186
-1.5506 0.8952 11.2186
0.0000 -1.7904 11.2186
Ba Y W
1 1 2
Direct
0.0000 0.0000 0.0000 Ba
0.5000 0.5000 0.5000 Y
0.2423 0.2423 0.2423 W
0.7577 0.7577 0.7577 W
```